Record 1
# SmY2InN | the Alexandria database | PBE-GGA | relaxed
data_SmY2InN
_cell_length_a 4.838
_cell_length_b 4.838
_cell_length_c 4.954
_cell_angle_alpha 90.00
_cell_angle_beta 90.00
_cell_angle_gamma 90.00
_space_group_name_H-M_alt 'P 1'
_space_group_IT_number 1
_space_group_name_Hall 'P 1'
loop_
_atom_site_label
_atom_site_fract_x
_atom_site_fract_y
_atom_site_fract_z
_atom_site_occupancy
Sm1 0.000 0.000 0.000 1
Y1 0.000 0.500 0.500 1
Y2 0.500 0.000 0.500 1
In1 0.500 0.500 0.000 1
N1 0.000 0.000 0.500 1
# Formation energy (no corrections): -0.9786 eV per atom
# DOS(E_F): 2.540 states/eV/f.u.

---

Record 2
# In2SnN2 | the Alexandria database | PBE-GGA | relaxed
data_In2SnN2
_cell_length_a 3.288
_cell_length_b 3.400
_cell_length_c 14.642
_cell_angle_alpha 85.01
_cell_angle_beta 88.15
_cell_angle_gamma 62.59
_space_group_name_H-M_alt 'P 1'
_space_group_IT_number 1
_space_group_name_Hall 'P 1'
loop_
_atom_site_label
_atom_site_fract_x
_atom_site_fract_y
_atom_site_fract_z
_atom_site_occupancy
In1 0.151 0.206 0.313 1
In2 0.849 0.794 0.687 1
Sn1 0.500 0.500 0.500 1
N1 0.010 0.981 0.038 1
N2 0.990 0.019 0.962 1
# Formation energy (no corrections): 0.0873 eV per atom
# DOS(E_F): 0.905 states/eV/f.u.